<a>
DFT (PBE-GGA) results for crystalline KY2Sn2 at its relaxed geometry.

CIF file:
```
data_KY2Sn2
_symmetry_space_group_name_H-M 'P 1'
_symmetry_Int_Tables_number 1
_symmetry_space_group_name_Hall 'P 1'
_cell_length_a 9.3727
_cell_length_b 9.3727
_cell_length_c 3.4449
_cell_angle_alpha 90.00
_cell_angle_beta 90.00
_cell_angle_gamma 90.00
loop_
_atom_site_label
_atom_site_type_symbol
_atom_site_fract_x
_atom_site_fract_y
_atom_site_fract_z
K1 K 0.0000 0.0000 0.0000
K2 K 0.5000 0.5000 0.0000
Y1 Y 0.1307 0.3693 0.0000
Y2 Y 0.3693 0.8693 0.0000
Y3 Y 0.6307 0.1307 0.0000
Y4 Y 0.8693 0.6307 0.0000
Sn1 Sn 0.1652 0.6652 0.5000
Sn2 Sn 0.3348 0.1652 0.5000
Sn3 Sn 0.6652 0.8348 0.5000
Sn4 Sn 0.8348 0.3348 0.5000
```

=====

<b>
DFT (PBE-GGA) results for crystalline KY2Sn2 at its relaxed geometry.

CIF file:
```
data_KY2Sn2
_symmetry_space_group_name_H-M 'P 1'
_symmetry_Int_Tables_number 1
_symmetry_space_group_name_Hall 'P 1'
_cell_length_a 7.4932
_cell_length_b 7.4932
_cell_length_c 7.4932
_cell_angle_alpha 138.77
_cell_angle_beta 138.77
_cell_angle_gamma 59.73
loop_
_atom_site_label
_atom_site_type_symbol
_atom_site_fract_x
_atom_site_fract_y
_atom_site_fract_z
K1 K 0.0000 0.0000 0.0000
Y1 Y 0.2500 0.7500 0.5000
Y2 Y 0.7500 0.2500 0.5000
Sn1 Sn 0.3822 0.3822 0.0000
Sn2 Sn 0.6178 0.6178 0.0000
```

=====

Relative to the most stable structure, the computed energies are <a> 0; <b> 205, all in meV/atom.

=====

<a>
DFT (PBE-GGA) results for crystalline KZnSn at its relaxed geometry.

CIF file:
```
data_KZnSn
_symmetry_space_group_name_H-M 'P 1'
_symmetry_Int_Tables_number 1
_symmetry_space_group_name_Hall 'P 1'
_cell_length_a 4.7255
_cell_length_b 4.7255
_cell_length_c 4.9147
_cell_angle_alpha 90.00
_cell_angle_beta 90.00
_cell_angle_gamma 120.00
loop_
_atom_site_label
_atom_site_type_symbol
_atom_site_fract_x
_atom_site_fract_y
_atom_site_fract_z
K1 K 0.0000 0.0000 0.0000
Zn1 Zn 0.6667 0.3333 0.5000
Sn1 Sn 0.3333 0.6667 0.5000
```

=====

<b>
DFT (PBE-GGA) results for crystalline KZnSn at its relaxed geometry.

CIF file:
```
data_KZnSn
_symmetry_space_group_name_H-M 'P 1'
_symmetry_Int_Tables_number 1
_symmetry_space_group_name_Hall 'P 1'
_cell_length_a 8.5010
_cell_length_b 4.8707
_cell_length_c 8.1313
_cell_angle_alpha 90.00
_cell_angle_beta 90.00
_cell_angle_gamma 90.00
loop_
_atom_site_label
_atom_site_type_symbol
_atom_site_fract_x
_atom_site_fract_y
_atom_site_fract_z
K1 K 0.0090 0.2500 0.1686
K2 K 0.4910 0.7500 0.6686
K3 K 0.5090 0.2500 0.3314
K4 K 0.9910 0.7500 0.8314
Zn1 Zn 0.1707 0.7500 0.4090
Zn2 Zn 0.3293 0.2500 0.9090
Zn3 Zn 0.6707 0.7500 0.0910
Zn4 Zn 0.8293 0.2500 0.5910
Sn1 Sn 0.1686 0.2500 0.5913
Sn2 Sn 0.3314 0.7500 0.0913
Sn3 Sn 0.6686 0.2500 0.9087
Sn4 Sn 0.8314 0.7500 0.4087
```

=====

Relative to the most stable structure, the computed energies are <a> 17; <b> 0, all in meV/atom.

=====

<a>
DFT (PBE-GGA) results for crystalline KZn2Sn2 at its relaxed geometry.

CIF file:
```
data_KZn2Sn2
_symmetry_space_group_name_H-M 'P 1'
_symmetry_Int_Tables_number 1
_symmetry_space_group_name_Hall 'P 1'
_cell_length_a 8.7787
_cell_length_b 8.7787
_cell_length_c 3.2886
_cell_angle_alpha 90.00
_cell_angle_beta 90.00
_cell_angle_gamma 90.00
loop_
_atom_site_label
_atom_site_type_symbol
_atom_site_fract_x
_atom_site_fract_y
_atom_site_fract_z
K1 K 0.0000 0.0000 0.0000
K2 K 0.5000 0.5000 0.0000
Zn1 Zn 0.1524 0.3476 0.5000
Zn2 Zn 0.3476 0.8476 0.5000
Zn3 Zn 0.6524 0.1524 0.5000
Zn4 Zn 0.8476 0.6524 0.5000
Sn1 Sn 0.1357 0.6357 0.0000
Sn2 Sn 0.3643 0.1357 0.0000
Sn3 Sn 0.6357 0.8643 0.0000
Sn4 Sn 0.8643 0.3643 0.0000
```

=====

<b>
DFT (PBE-GGA) results for crystalline KZn2Sn2 at its relaxed geometry.

CIF file:
```
data_KZn2Sn2
_symmetry_space_group_name_H-M 'P 1'
_symmetry_Int_Tables_number 1
_symmetry_space_group_name_Hall 'P 1'
_cell_length_a 6.8203
_cell_length_b 6.8203
_cell_length_c 6.8203
_cell_angle_alpha 139.98
_cell_angle_beta 139.98
_cell_angle_gamma 57.88
loop_
_atom_site_label
_atom_site_type_symbol
_atom_site_fract_x
_atom_site_fract_y
_atom_site_fract_z
K1 K 0.0000 0.0000 0.0000
Zn1 Zn 0.3951 0.3951 0.0000
Zn2 Zn 0.6049 0.6049 0.0000
Sn1 Sn 0.2500 0.7500 0.5000
Sn2 Sn 0.7500 0.2500 0.5000
```

=====

Relative to the most stable structure, the computed energies are <a> 140; <b> 0, all in meV/atom.

=====

<a>
DFT (PBE-GGA) results for crystalline KZn2Sn2 at its relaxed geometry.

CIF file:
```
data_KZn2Sn2
_symmetry_space_group_name_H-M 'P 1'
_symmetry_Int_Tables_number 1
_symmetry_space_group_name_Hall 'P 1'
_cell_length_a 8.7692
_cell_length_b 8.7692
_cell_length_c 3.2145
_cell_angle_alpha 90.00
_cell_angle_beta 90.00
_cell_angle_gamma 90.00
loop_
_atom_site_label
_atom_site_type_symbol
_atom_site_fract_x
_atom_site_fract_y
_atom_site_fract_z
K1 K 0.0000 0.0000 0.0000
K2 K 0.5000 0.5000 0.0000
Zn1 Zn 0.1388 0.3612 0.0000
Zn2 Zn 0.3612 0.8612 0.0000
Zn3 Zn 0.6388 0.1388 0.0000
Zn4 Zn 0.8612 0.6388 0.0000
Sn1 Sn 0.1497 0.6497 0.5000
Sn2 Sn 0.3503 0.1497 0.5000
Sn3 Sn 0.6497 0.8503 0.5000
Sn4 Sn 0.8503 0.3503 0.5000
```

=====

<b>
DFT (PBE-GGA) results for crystalline KZn2Sn2 at its relaxed geometry.

CIF file:
```
data_KZn2Sn2
_symmetry_space_group_name_H-M 'P 1'
_symmetry_Int_Tables_number 1
_symmetry_space_group_name_Hall 'P 1'
_cell_length_a 6.5856
_cell_length_b 7.1179
_cell_length_c 7.5053
_cell_angle_alpha 62.31
_cell_angle_beta 80.90
_cell_angle_gamma 65.78
loop_
_atom_site_label
_atom_site_type_symbol
_atom_site_fract_x
_atom_site_fract_y
_atom_site_fract_z
K1 K 0.2440 0.0835 0.2935
K2 K 0.7560 0.9165 0.7065
Zn1 Zn 0.1165 0.2421 0.7897
Zn2 Zn 0.3177 0.4797 0.8112
Zn3 Zn 0.6823 0.5203 0.1888
Zn4 Zn 0.8835 0.7579 0.2103
Sn1 Sn 0.2635 0.7660 0.9766
Sn2 Sn 0.3038 0.4677 0.4419
Sn3 Sn 0.6962 0.5323 0.5581
Sn4 Sn 0.7365 0.2340 0.0234
```

=====

Relative to the most stable structure, the computed energies are <a> 45; <b> 0, all in meV/atom.

=====

<a>
DFT (PBE-GGA) results for crystalline K2ZnSn2 at its relaxed geometry.

CIF file:
```
data_K2ZnSn2
_symmetry_space_group_name_H-M 'P 1'
_symmetry_Int_Tables_number 1
_symmetry_space_group_name_Hall 'P 1'
_cell_length_a 6.5529
_cell_length_b 6.5529
_cell_length_c 11.7259
_cell_angle_alpha 113.59
_cell_angle_beta 113.59
_cell_angle_gamma 46.63
loop_
_atom_site_label
_atom_site_type_symbol
_atom_site_fract_x
_atom_site_fract_y
_atom_site_fract_z
K1 K 0.0908 0.0908 0.3830
K2 K 0.3244 0.3244 0.8136
K3 K 0.6756 0.6756 0.1864
K4 K 0.9092 0.9092 0.6170
Zn1 Zn 0.3580 0.3580 0.1383
Zn2 Zn 0.6420 0.6420 0.8617
Sn1 Sn 0.1001 0.1001 0.9550
Sn2 Sn 0.3907 0.3907 0.3884
Sn3 Sn 0.6093 0.6093 0.6116
Sn4 Sn 0.8999 0.8999 0.0450
```

=====

<b>
DFT (PBE-GGA) results for crystalline K2ZnSn2 at its relaxed geometry.

CIF file:
```
data_K2ZnSn2
_symmetry_space_group_name_H-M 'P 1'
_symmetry_Int_Tables_number 1
_symmetry_space_group_name_Hall 'P 1'
_cell_length_a 10.2693
_cell_length_b 10.2693
_cell_length_c 3.5907
_cell_angle_alpha 90.00
_cell_angle_beta 90.00
_cell_angle_gamma 90.00
loop_
_atom_site_label
_atom_site_type_symbol
_atom_site_fract_x
_atom_site_fract_y
_atom_site_fract_z
K1 K 0.1995 0.3005 0.0000
K2 K 0.3005 0.8005 0.0000
K3 K 0.6995 0.1995 0.0000
K4 K 0.8005 0.6995 0.0000
Zn1 Zn 0.0000 0.0000 0.5000
Zn2 Zn 0.5000 0.5000 0.5000
Sn1 Sn 0.0959 0.5959 0.5000
Sn2 Sn 0.4041 0.0959 0.5000
Sn3 Sn 0.5959 0.9041 0.5000
Sn4 Sn 0.9041 0.4041 0.5000
```

=====

<c>
DFT (PBE-GGA) results for crystalline K2ZnSn2 at its relaxed geometry.

CIF file:
```
data_K2ZnSn2
_symmetry_space_group_name_H-M 'P 1'
_symmetry_Int_Tables_number 1
_symmetry_space_group_name_Hall 'P 1'
_cell_length_a 8.4655
_cell_length_b 8.4655
_cell_length_c 8.4655
_cell_angle_alpha 147.64
_cell_angle_beta 147.64
_cell_angle_gamma 46.42
loop_
_atom_site_label
_atom_site_type_symbol
_atom_site_fract_x
_atom_site_fract_y
_atom_site_fract_z
K1 K 0.2500 0.7500 0.5000
K2 K 0.7500 0.2500 0.5000
Zn1 Zn 0.0000 0.0000 0.0000
Sn1 Sn 0.4138 0.4138 0.0000
Sn2 Sn 0.5862 0.5862 0.0000
```

=====

Relative to the most stable structure, the computed energies are <a> 0; <b> 209; <c> 435, all in meV/atom.